(1)
# MgBeO2F (GGA-PBE, optimized geometry)
data_MgBeO2F
_chemical_formula_sum 'Mg1 Be1 O2 F1'
_space_group_name_H-M_alt 'P 1'
_space_group_IT_number 1
_cell_length_a 3.8645
_cell_length_b 3.8645
_cell_length_c 3.7209
_cell_angle_alpha 90.00
_cell_angle_beta 90.00
_cell_angle_gamma 90.00
loop_
_space_group_symop_operation_xyz
'x,y,z'
loop_
_atom_site_label
_atom_site_type_symbol
_atom_site_fract_x
_atom_site_fract_y
_atom_site_fract_z
F1 F 0.0000 0.0000 0.5000
O1 O 0.0000 0.5000 0.0000
O2 O 0.5000 0.0000 0.0000
Mg1 Mg 0.0000 0.0000 0.0000
Be1 Be 0.5000 0.5000 0.5000
# E: -4.43 eV per atom
# formation energy from raw total energies: -1005.7 meV/atom

(2)
# Ac8Ir3S4Br (GGA-PBE, optimized geometry)
data_Ac8Ir3S4Br
_chemical_formula_sum 'Ac8 Ir3 S4 Br1'
_space_group_name_H-M_alt 'P 1'
_space_group_IT_number 1
_cell_length_a 8.6720
_cell_length_b 8.9725
_cell_length_c 8.6722
_cell_angle_alpha 118.90
_cell_angle_beta 120.00
_cell_angle_gamma 90.00
loop_
_space_group_symop_operation_xyz
'x,y,z'
loop_
_atom_site_label
_atom_site_type_symbol
_atom_site_fract_x
_atom_site_fract_y
_atom_site_fract_z
Ir1 Ir 0.5000 0.5000 0.5000
Ac1 Ac 0.2566 0.2698 0.5132
Ac2 Ac 0.7284 0.7417 0.9851
Br1 Br 0.0000 0.5000 0.0000
Ac3 Ac 0.7434 0.2583 0.4867
Ac4 Ac 0.2716 0.2583 0.0149
Ir2 Ir 0.5000 0.5000 0.0000
S1 S 0.5000 0.0000 0.0000
S2 S 0.0000 0.0000 0.0000
S3 S 0.5000 0.0000 0.5000
Ac5 Ac 0.2566 0.7417 0.5133
Ac6 Ac 0.7434 0.2583 0.0149
S4 S 0.0000 0.0000 0.5000
Ac7 Ac 0.7434 0.7302 0.4868
Ac8 Ac 0.2566 0.7417 0.9851
Ir3 Ir 0.0000 0.5000 0.5000
# E: -6.22 eV per atom
# formation energy from raw total energies: -1370.5 meV/atom

no.,total magnetization (μB/f.u.)
1,1.01
2,0.00